Mn2TeBr at its PBEsol-relaxed geometry. Source: the Alexandria database, functional meta-GGA SCAN.

a = 3.3875 Å, b = 3.3875 Å, c = 7.1154 Å
α = 90.00°, β = 90.00°, γ = 90.00°
With the nearest neighbours (Å) after each atom.
Atoms (fractional coordinates):
Mn: 0.0000 0.0000 0.0000  1 Te 2.67, 4 Br 2.72, 4 Mn 2.79
Mn: 0.5000 0.5000 0.2016  4 Te 2.69, 1 Br 2.72, 4 Mn 2.79
Te: 0.0000 0.0000 0.3749  5 Mn 2.67-2.69
Br: 0.5000 0.5000 0.8187  5 Mn 2.72

Values from the calculation:
The space-group type is P4mm, No. 99.

MnTeBr2 at its PBEsol-relaxed geometry. Source: the Alexandria database, functional meta-GGA SCAN.

a = 8.5475 Å, b = 8.5475 Å, c = 8.5475 Å
α = 24.95°, β = 24.95°, γ = 24.95°
With the nearest neighbours (Å) after each atom.
Atoms (fractional coordinates):
Mn: 0.0000 0.0000 0.0000  3 Br 2.58, 3 Te 2.68
Te: 0.7318 0.7318 0.7318  3 Mn 2.68
Br: 0.2747 0.2747 0.2747  3 Mn 2.58
Br: 0.4877 0.4877 0.4877  3 Te 3.07

Values from the calculation:
The space-group type is R3m, No. 160.

MnTe3Br at its PBEsol-relaxed geometry. Source: the Alexandria database, functional meta-GGA SCAN.

a = 5.0761 Å, b = 5.0761 Å, c = 5.0761 Å
α = 90.00°, β = 90.00°, γ = 90.00°
With the nearest neighbours (Å) after each atom.
Atoms (fractional coordinates):
Mn: 0.0000 0.0000 0.0000  6 Te 2.54
Te: 0.0000 0.0000 0.5000  2 Mn 2.54
Te: 0.0000 0.5000 0.0000  2 Mn 2.54
Te: 0.5000 0.0000 0.0000  2 Mn 2.54
Br: 0.5000 0.5000 0.5000  12 Te 3.59

Values from the calculation:
The space-group type is Pm-3m, No. 221.

The records above give, respectively, ΔE_f (raw) values of -0.370 -0.505 0.133 eV/atom.